Entry 1:
A plane-wave DFT calculation with PBE-GGA was carried out for a relaxed KCo2Pd2 crystal.

Geometry as extended XYZ:
```
10
Lattice="7.859 0.000 0.000 0.000 7.859 0.000 0.000 0.000 2.699" Properties=species:S:1:pos:R:3 pbc="T T T"
K 0.000 0.000 0.000
K 3.930 3.930 0.000
Co 0.829 3.100 0.000
Co 3.100 7.030 0.000
Co 4.759 0.829 0.000
Co 7.030 4.759 0.000
Pd 1.414 5.344 1.350
Pd 2.516 1.414 1.350
Pd 5.344 6.445 1.350
Pd 6.445 2.516 1.350
```

* calculated total energy: -4.839 eV per atom
* energy relative to the elements: 0.300 eV per atom
* V: 16.7 Å³/atom
* SG: P4/mbm, No. 127
* spin magnetization: 8.5 Bohr magnetons per cell

Entry 2:
A plane-wave DFT calculation with PBE-GGA was carried out for a relaxed K2CoPd crystal.

Geometry as extended XYZ:
```
4
Lattice="0.000 3.901 3.901 3.901 0.000 3.901 3.901 3.901 0.000" Properties=species:S:1:pos:R:3 pbc="T T T"
K 1.951 1.951 1.951
K 5.852 5.852 5.852
Co 0.000 0.000 0.000
Pd 3.901 3.901 3.901
```

* calculated total energy: -2.710 eV per atom
* energy relative to the elements: 0.913 eV per atom
* V: 29.7 Å³/atom
* SG: Fm-3m, No. 225
* spin magnetization: 2.1 Bohr magnetons per cell

Entry 3:
A plane-wave DFT calculation with PBE-GGA was carried out for a relaxed KPm3Co crystal.

Geometry as extended XYZ:
```
5
Lattice="5.544 0.000 0.000 0.000 5.544 0.000 0.000 0.000 5.544" Properties=species:S:1:pos:R:3 pbc="T T T"
K 0.000 0.000 0.000
Pm 0.000 2.772 2.772
Pm 2.772 0.000 2.772
Pm 2.772 2.772 0.000
Co 2.772 2.772 2.772
```

* calculated total energy: -4.309 eV per atom
* energy relative to the elements: 0.182 eV per atom
* V: 34.1 Å³/atom
* SG: Pm-3m, No. 221
* spin magnetization: 0.0 Bohr magnetons per cell

What did the second record say?
A plane-wave DFT calculation with PBE-GGA was carried out for a relaxed K2CoPd crystal.

Geometry as extended XYZ:
```
4
Lattice="0.000 3.901 3.901 3.901 0.000 3.901 3.901 3.901 0.000" Properties=species:S:1:pos:R:3 pbc="T T T"
K 1.951 1.951 1.951
K 5.852 5.852 5.852
Co 0.000 0.000 0.000
Pd 3.901 3.901 3.901
```

* calculated total energy: -2.710 eV per atom
* energy relative to the elements: 0.913 eV per atom
* V: 29.7 Å³/atom
* SG: Fm-3m, No. 225
* spin magnetization: 2.1 Bohr magnetons per cell